! GGA-PBEsol BaBi2Br, relaxed; values from VASP
&SYSTEM
  ibrav = 0, nat = 8, ntyp = 3
/
ATOMIC_SPECIES
Ba 137.33 Ba.upf
Bi 208.98 Bi.upf
Br 79.90 Br.upf
CELL_PARAMETERS angstrom
4.5880 0.0000 0.0000
0.0000 4.5880 0.0000
-2.2940 -2.2940 13.9123
ATOMIC_POSITIONS crystal
Ba 0.2500 0.7500 0.5000
Ba 0.0000 0.0000 0.0000
Bi 0.3408 0.8750 0.2500
Bi 0.1250 0.0908 0.7500
Bi 0.9092 0.3750 0.2500
Bi 0.6250 0.6592 0.7500
Br 0.5000 0.5000 0.0000
Br 0.7500 0.2500 0.5000
! - Calculated density: 7.20 g cm⁻³
! - Formation energy (no corrections): -0.8652 eV per atom
! - VASP energy: -0.2949 Ry per atom
! - Space group: I-42d, No. 122